# Tb3DySc8 PBE optimized geometry
# DFT total energy in eV/atom: -5.475
# Energy relative to the elements in kJ per mole of atoms: 28
data_Tb3DySc8
_cell_length_a 8.188
_cell_length_b 8.188
_cell_length_c 8.188
_cell_angle_alpha 137.57
_cell_angle_beta 99.11
_cell_angle_gamma 95.94
_space_group_name_H-M_alt 'P 1'
_space_group_IT_number 1
loop_
_space_group_symop_operation_xyz
'x,y,z'
loop_
_atom_site_label
_atom_site_fract_x
_atom_site_fract_y
_atom_site_fract_z
Tb1 0.000 0.000 0.000
Tb2 0.251 0.500 0.751
Tb3 0.749 0.500 0.249
Dy1 0.500 0.000 0.500
Sc1 0.074 0.823 0.250
Sc2 0.250 0.001 0.750
Sc3 0.250 0.500 0.250
Sc4 0.427 0.177 0.250
Sc5 0.573 0.823 0.750
Sc6 0.750 0.500 0.750
Sc7 0.750 0.999 0.250
Sc8 0.926 0.177 0.750

=====

# MgUN PBE optimized geometry
# DFT total energy in eV/atom: -7.764
# Energy relative to the elements, uncorrected in meV/atom: -695
data_MgUN
_cell_length_a 5.121
_cell_length_b 3.289
_cell_length_c 5.483
_cell_angle_alpha 90.00
_cell_angle_beta 96.13
_cell_angle_gamma 90.00
_space_group_name_H-M_alt 'P 1'
_space_group_IT_number 1
loop_
_space_group_symop_operation_xyz
'x,y,z'
loop_
_atom_site_label
_atom_site_fract_x
_atom_site_fract_y
_atom_site_fract_z
Mg1 0.233 0.250 0.430
Mg2 0.767 0.750 0.570
U1 0.310 0.750 0.947
U2 0.690 0.250 0.053
N1 0.031 0.250 0.773
N2 0.969 0.750 0.227

=====

# ThZrPa2As4 PBE optimized geometry
# DFT total energy in eV/atom: -7.821
# Energy relative to the elements in kJ per mole of atoms: -109
data_ThZrPa2As4
_cell_length_a 7.011
_cell_length_b 4.119
_cell_length_c 7.098
_cell_angle_alpha 90.00
_cell_angle_beta 109.78
_cell_angle_gamma 90.00
_space_group_name_H-M_alt 'P 1'
_space_group_IT_number 1
loop_
_space_group_symop_operation_xyz
'x,y,z'
loop_
_atom_site_label
_atom_site_fract_x
_atom_site_fract_y
_atom_site_fract_z
Th1 0.000 0.000 0.000
Zr1 0.000 0.500 0.500
Pa1 0.500 0.000 0.500
Pa2 0.500 0.500 0.000
As1 0.245 0.000 0.738
As2 0.253 0.500 0.263
As3 0.747 0.500 0.737
As4 0.755 0.000 0.262

=====

# Pm4NdGa PBE optimized geometry
# DFT total energy in eV/atom: -4.630
# Energy relative to the elements in kJ per mole of atoms: -16
# E above lowest polymorph in meV per atom: 0
data_Pm4NdGa
_cell_length_a 3.651
_cell_length_b 3.651
_cell_length_c 14.181
_cell_angle_alpha 90.00
_cell_angle_beta 90.00
_cell_angle_gamma 90.00
_space_group_name_H-M_alt 'P 1'
_space_group_IT_number 1
loop_
_space_group_symop_operation_xyz
'x,y,z'
loop_
_atom_site_label
_atom_site_fract_x
_atom_site_fract_y
_atom_site_fract_z
Pm1 0.000 0.000 0.130
Pm2 0.000 0.000 0.870
Pm3 0.500 0.500 0.316
Pm4 0.500 0.500 0.684
Nd1 0.000 0.000 0.500
Ga1 0.500 0.500 0.000

=====

# TcS2ClF PBE optimized geometry
# DFT total energy in eV/atom: -3.631
# E above lowest polymorph in meV per atom: 854
# Energy relative to the elements, uncorrected in meV/atom: 837
data_TcS2ClF
_cell_length_a 4.153
_cell_length_b 4.153
_cell_length_c 5.546
_cell_angle_alpha 90.00
_cell_angle_beta 90.00
_cell_angle_gamma 90.00
_space_group_name_H-M_alt 'P 1'
_space_group_IT_number 1
loop_
_space_group_symop_operation_xyz
'x,y,z'
loop_
_atom_site_label
_atom_site_fract_x
_atom_site_fract_y
_atom_site_fract_z
Tc1 0.000 0.000 0.000
S1 0.000 0.500 0.500
S2 0.500 0.000 0.500
Cl1 0.500 0.500 0.000
F1 0.500 0.500 0.500

=====

# PaTeBr PBE optimized geometry
# DFT total energy in eV/atom: -5.607
# E above lowest polymorph in meV per atom: 76
# Energy relative to the elements, uncorrected in meV/atom: -837
data_PaTeBr
_cell_length_a 3.876
_cell_length_b 7.526
_cell_length_c 8.424
_cell_angle_alpha 106.07
_cell_angle_beta 103.03
_cell_angle_gamma 90.42
_space_group_name_H-M_alt 'P 1'
_space_group_IT_number 1
loop_
_space_group_symop_operation_xyz
'x,y,z'
loop_
_atom_site_label
_atom_site_fract_x
_atom_site_fract_y
_atom_site_fract_z
Pa1 0.221 0.242 0.440
Pa2 0.779 0.758 0.560
Te1 0.370 0.071 0.738
Te2 0.630 0.929 0.262
Br1 0.366 0.573 0.742
Br2 0.634 0.427 0.258

=====

# Pm6CdHg8 PBE optimized geometry
# DFT total energy in eV/atom: -2.446
# Energy relative to the elements in kJ per mole of atoms: -31
data_Pm6CdHg8
_cell_length_a 7.894
_cell_length_b 7.894
_cell_length_c 7.894
_cell_angle_alpha 70.90
_cell_angle_beta 70.90
_cell_angle_gamma 70.90
_space_group_name_H-M_alt 'P 1'
_space_group_IT_number 1
loop_
_space_group_symop_operation_xyz
'x,y,z'
loop_
_atom_site_label
_atom_site_fract_x
_atom_site_fract_y
_atom_site_fract_z
Pm1 0.153 0.415 0.660
Pm2 0.340 0.847 0.585
Pm3 0.415 0.660 0.153
Pm4 0.585 0.340 0.847
Pm5 0.660 0.153 0.415
Pm6 0.847 0.585 0.340
Cd1 0.000 0.000 0.000
Hg1 0.047 0.842 0.404
Hg2 0.158 0.596 0.953
Hg3 0.277 0.277 0.277
Hg4 0.404 0.047 0.842
Hg5 0.596 0.953 0.158
Hg6 0.723 0.723 0.723
Hg7 0.842 0.404 0.047
Hg8 0.953 0.158 0.596

=====

# NbCd2W PBE optimized geometry
# DFT total energy in eV/atom: -5.387
# Energy relative to the elements in kJ per mole of atoms: 80
# E above lowest polymorph in meV per atom: 23
data_NbCd2W
_cell_length_a 3.927
_cell_length_b 3.927
_cell_length_c 20.866
_cell_angle_alpha 90.00
_cell_angle_beta 90.00
_cell_angle_gamma 90.00
_space_group_name_H-M_alt 'P 1'
_space_group_IT_number 1
loop_
_space_group_symop_operation_xyz
'x,y,z'
loop_
_atom_site_label
_atom_site_fract_x
_atom_site_fract_y
_atom_site_fract_z
Nb1 0.000 0.000 0.000
Nb2 0.000 0.500 0.250
Nb3 0.500 0.000 0.750
Nb4 0.500 0.500 0.500
Cd1 0.246 0.250 0.625
Cd2 0.250 0.746 0.875
Cd3 0.250 0.754 0.375
Cd4 0.254 0.250 0.125
Cd5 0.746 0.750 0.125
Cd6 0.750 0.246 0.375
Cd7 0.750 0.254 0.875
Cd8 0.754 0.750 0.625
W1 0.000 0.000 0.500
W2 0.000 0.500 0.750
W3 0.500 0.000 0.250
W4 0.500 0.500 0.000

=====

# U2GaBi PBE optimized geometry
# DFT total energy in eV/atom: -7.200
# Energy relative to the elements in kJ per mole of atoms: 17
data_U2GaBi
_cell_length_a 5.724
_cell_length_b 5.724
_cell_length_c 3.048
_cell_angle_alpha 90.00
_cell_angle_beta 90.00
_cell_angle_gamma 90.00
_space_group_name_H-M_alt 'P 1'
_space_group_IT_number 1
loop_
_space_group_symop_operation_xyz
'x,y,z'
loop_
_atom_site_label
_atom_site_fract_x
_atom_site_fract_y
_atom_site_fract_z
U1 0.000 0.500 0.000
U2 0.500 0.000 0.000
Ga1 0.000 0.000 0.500
Bi1 0.500 0.500 0.500

=====

# Sm2Co6C3 PBE optimized geometry
# DFT total energy in eV/atom: -7.177
# Energy relative to the elements in kJ per mole of atoms: 7
data_Sm2Co6C3
_cell_length_a 6.766
_cell_length_b 6.766
_cell_length_c 3.602
_cell_angle_alpha 90.00
_cell_angle_beta 90.00
_cell_angle_gamma 120.00
_space_group_name_H-M_alt 'P 1'
_space_group_IT_number 1
loop_
_space_group_symop_operation_xyz
'x,y,z'
loop_
_atom_site_label
_atom_site_fract_x
_atom_site_fract_y
_atom_site_fract_z
Sm1 0.333 0.667 0.000
Sm2 0.667 0.333 0.000
Co1 0.000 0.235 0.500
Co2 0.000 0.779 0.000
Co3 0.221 0.221 0.000
Co4 0.235 0.000 0.500
Co5 0.765 0.765 0.500
Co6 0.779 0.000 0.000
C1 0.000 0.684 0.500
C2 0.316 0.316 0.500
C3 0.684 0.000 0.500

=====

# LaAgBIr2 PBE optimized geometry
# DFT total energy in eV/atom: -6.763
# Energy relative to the elements in kJ per mole of atoms: -32
data_LaAgBIr2
_cell_length_a 4.320
_cell_length_b 4.320
_cell_length_c 4.549
_cell_angle_alpha 90.00
_cell_angle_beta 90.00
_cell_angle_gamma 90.00
_space_group_name_H-M_alt 'P 1'
_space_group_IT_number 1
loop_
_space_group_symop_operation_xyz
'x,y,z'
loop_
_atom_site_label
_atom_site_fract_x
_atom_site_fract_y
_atom_site_fract_z
La1 0.000 0.000 0.000
Ag1 0.500 0.500 0.000
B1 0.500 0.500 0.500
Ir1 0.000 0.500 0.500
Ir2 0.500 0.000 0.500